Mo3Au | PBE | relaxed

Cell and atoms, written as POSCAR:
```
Mo3Au
1.0
4.8701 0.0025 0.0000
1.5050 4.6317 0.0000
-3.1875 -2.3171 2.8615
Au Mo
1 3
direct
0.0000 0.0000 0.0000
0.2500 0.7500 0.5000
0.5000 0.5000 0.0000
0.7500 0.2500 0.5000
```

Results
- space group = I4/mmm, No. 139
- DFT total energy (eV per atom) = -8.71
- ΔE_f (eV/atom) = 0.23
- volume (Å³ per cell) = 64.5